No. 1
# La3MgO

Crystalline La3MgO at its relaxed geometry (PBE, the Alexandria database).

Cell lengths 6.8665, 6.9133, 7.0824 Å; angles 90.00, 118.98, 90.00 degrees
Last column: nearest neighbours and their distance in Å.
Sites, in units of the cell vectors:
1 Mg 0.7801 0.2500 0.8014  8 La 3.40-3.69
2 Mg 0.2199 0.7500 0.1986  8 La 3.40-3.69
3 O 0.0639 0.2500 0.4403  5 La 2.31-2.56
4 O 0.9361 0.7500 0.5597  5 La 2.31-2.56
5 La 0.7839 0.9930 0.2471  2 O 2.49-2.56
6 La 0.2161 0.0070 0.7529  2 O 2.49-2.56
7 La 0.7839 0.5070 0.2471  2 O 2.49-2.56
8 La 0.2161 0.4930 0.7529  2 O 2.49-2.56
9 La 0.3136 0.2500 0.3094  1 O 2.31
10 La 0.6864 0.7500 0.6906  1 O 2.31

Electronic total energy, eV/atom: -5.310
Excess energy over the best structure of this formula in the dataset, eV/atom: 0.165
Formation energy without anion corrections, kJ/mol of formula units: -503
Space-group type: No. 11

No. 2
# Ag4HgIr

Crystalline Ag4HgIr at its relaxed geometry (PBE, the Alexandria database).

Cell lengths 5.3938, 5.3938, 5.3938 Å; angles 60.00, 60.00, 60.00 degrees
Last column: nearest neighbours and their distance in Å.
Sites, in units of the cell vectors:
1 Ag 0.8761 0.3746 0.3746  6 Ag 2.69-2.70
2 Ag 0.3746 0.3746 0.8761  6 Ag 2.69-2.70
3 Ag 0.3746 0.8761 0.3746  6 Ag 2.69-2.70
4 Ag 0.3746 0.3746 0.3746  6 Ag 2.69-2.70
5 Hg 0.7500 0.7500 0.7500  12 Ag 3.16, 4 Ir 3.30
6 Ir 0.0000 0.0000 0.0000  12 Ag 3.16, 4 Hg 3.30

Electronic total energy, eV/atom: -2.908
Energy of formation, eV/atom: 0.52
Space-group type: No. 216

No. 3
# Ta2AlCu

Crystalline Ta2AlCu at its relaxed geometry (PBE, the Alexandria database).

Cell lengths 6.2814, 4.8734, 2.8652 Å; angles 90.06, 62.76, 120.66 degrees
Last column: nearest neighbours and their distance in Å.
Sites, in units of the cell vectors:
1 Al 0.0000 0.5000 0.5000  2 Cu 2.79, 8 Ta 2.83, 2 Al 2.87
2 Cu 0.5000 0.5000 0.0000  2 Al 2.79, 8 Ta 2.83, 2 Cu 2.87
3 Ta 0.0000 0.0000 0.0000  4 Ta 2.79-2.87, 4 Al 2.83, 4 Cu 2.83
4 Ta 0.5000 0.0000 0.5000  4 Ta 2.79-2.87, 4 Cu 2.83, 4 Al 2.83

Electronic total energy, eV/atom: -7.960
Energy of formation, eV/atom: -0.07
Space-group type: No. 65

No. 4
# AcEuLu2

Crystalline AcEuLu2 at its relaxed geometry (PBE, the Alexandria database).

Cell lengths 5.0511, 5.2884, 5.2884 Å; angles 90.00, 90.00, 90.00 degrees
Last column: nearest neighbours and their distance in Å.
Sites, in units of the cell vectors:
1 Eu 0.5000 0.5000 0.5000  8 Lu 3.66, 4 Ac 3.74
2 Ac 0.5000 0.0000 0.0000  8 Lu 3.66, 4 Eu 3.74
3 Lu 0.0000 0.0000 0.5000  4 Eu 3.66, 4 Ac 3.66, 4 Lu 3.74
4 Lu 0.0000 0.5000 0.0000  4 Eu 3.66, 4 Ac 3.66, 4 Lu 3.74

Electronic total energy, eV/atom: -5.728
Energy of formation, eV/atom: 0.13
Excess energy over the best structure of this formula in the dataset, eV/atom: 0.008
Space-group type: No. 123

No. 5
# Sr2Ga2Pt

Crystalline Sr2Ga2Pt at its relaxed geometry (PBE, the Alexandria database).

Cell lengths 8.0061, 8.0061, 4.9934 Å; angles 90.00, 90.00, 90.00 degrees
Last column: nearest neighbours and their distance in Å.
Sites, in units of the cell vectors:
1 Sr 0.3154 0.8154 0.0000  2 Pt 2.93
2 Sr 0.8154 0.6846 0.0000  2 Pt 2.93
3 Sr 0.6846 0.1846 0.0000  2 Pt 2.93
4 Sr 0.1846 0.3154 0.0000  2 Pt 2.93
5 Ga 0.1134 0.6134 0.5000  1 Ga 2.57
6 Ga 0.6134 0.8866 0.5000  1 Ga 2.57
7 Ga 0.8866 0.3866 0.5000  1 Ga 2.57
8 Ga 0.3866 0.1134 0.5000  1 Ga 2.57
9 Pt 0.0000 0.0000 0.0000  4 Sr 2.93
10 Pt 0.5000 0.5000 0.0000  4 Sr 2.93

Electronic total energy, eV/atom: -3.162
Energy of formation, eV/atom: -0.07
Excess energy over the best structure of this formula in the dataset, eV/atom: 0.577
Space-group type: No. 127

No. 6
# CeDyHo2Er5

Crystalline CeDyHo2Er5 at its relaxed geometry (PBE, the Alexandria database).

Cell lengths 5.6412, 11.0184, 9.4806 Å; angles 90.00, 90.00, 104.83 degrees
Last column: nearest neighbours and their distance in Å.
Sites, in units of the cell vectors:
1 Ce 0.8080 0.6159 0.5203  2 Ho 3.22-3.31, 5 Er 3.36-3.45, 2 Dy 3.59
2 Ce 0.1920 0.3841 0.0203  2 Ho 3.22-3.31, 5 Er 3.36-3.45, 2 Dy 3.59
3 Dy 0.5968 0.1936 0.9266  3 Er 3.04-3.36
4 Dy 0.4032 0.8064 0.4266  3 Er 3.04-3.36
5 Ho 0.8867 0.7734 0.8216  9 Er 3.26-3.61, 1 Ce 3.31
6 Ho 0.1341 0.2683 0.7063  1 Ce 3.22, 2 Er 3.27, 2 Dy 3.60
7 Ho 0.1133 0.2266 0.3216  9 Er 3.26-3.61, 1 Ce 3.31
8 Ho 0.8659 0.7317 0.2063  1 Ce 3.22, 2 Er 3.27, 2 Dy 3.60
9 Er 0.3942 0.7884 0.0431  3 Er 3.26-3.63, 4 Ho 3.27-3.52, 1 Dy 3.64
10 Er 0.7333 0.4666 0.8328  1 Dy 3.04, 1 Ho 3.27, 1 Ce 3.36
11 Er 0.4712 0.9424 0.7460  2 Dy 3.18-3.36, 3 Er 3.26-3.52, 2 Ho 3.42
12 Er 0.3066 0.6132 0.7142  2 Ce 3.37, 5 Er 3.41-3.71, 1 Dy 3.42, 3 Ho 3.45-3.67
13 Er 0.9862 0.9724 0.5131  3 Ho 3.26-3.65, 2 Dy 3.43, 2 Er 3.60
14 Er 0.6058 0.2116 0.5431  3 Er 3.26-3.63, 4 Ho 3.27-3.52, 1 Dy 3.64
15 Er 0.2667 0.5334 0.3328  1 Dy 3.04, 1 Ho 3.27, 1 Ce 3.36
16 Er 0.5288 0.0576 0.2460  2 Dy 3.18-3.36, 3 Er 3.26-3.52, 2 Ho 3.42
17 Er 0.6934 0.3868 0.2142  2 Ce 3.37, 5 Er 3.41-3.71, 1 Dy 3.42, 3 Ho 3.45-3.67
18 Er 0.0138 0.0276 0.0131  3 Ho 3.26-3.65, 2 Dy 3.43, 2 Er 3.60

Electronic total energy, eV/atom: -4.550
Energy of formation, eV/atom: 0.17
Space-group type: No. 36

No. 7
# DyMgNiGe2

Crystalline DyMgNiGe2 at its relaxed geometry (PBE, the Alexandria database).

Cell lengths 5.7570, 5.4833, 5.7629 Å; angles 90.00, 90.00, 90.00 degrees
Last column: nearest neighbours and their distance in Å.
Sites, in units of the cell vectors:
1 Dy 0.2373 0.2500 0.5000  2 Mg 2.99, 8 Ge 3.04-3.29
2 Dy 0.7627 0.7500 0.5000  2 Mg 2.99, 8 Ge 3.04-3.29
3 Mg 0.6211 0.7500 0.0000  2 Ni 2.58, 2 Ge 2.70
4 Mg 0.3789 0.2500 0.0000  2 Ni 2.58, 2 Ge 2.70
5 Ni 0.0000 0.0000 0.0000  4 Ge 2.49, 2 Mg 2.58, 2 Ni 2.74
6 Ni 0.0000 0.5000 0.0000  4 Ge 2.49, 2 Mg 2.58, 2 Ni 2.74
7 Ge 0.7614 0.2500 0.7297  2 Ni 2.49, 1 Ge 2.65, 1 Mg 2.70
8 Ge 0.7614 0.2500 0.2703  2 Ni 2.49, 1 Ge 2.65, 1 Mg 2.70
9 Ge 0.2386 0.7500 0.7297  2 Ni 2.49, 1 Ge 2.65, 1 Mg 2.70
10 Ge 0.2386 0.7500 0.2703  2 Ni 2.49, 1 Ge 2.65, 1 Mg 2.70

Electronic total energy, eV/atom: -4.688
Energy of formation, eV/atom: -0.45
Space-group type: No. 51

No. 8
# SrUCu2O8

Crystalline SrUCu2O8 at its relaxed geometry (PBE, the Alexandria database).

Cell lengths 5.3268, 5.3268, 6.6224 Å; angles 113.71, 113.71, 90.00 degrees
Last column: nearest neighbours and their distance in Å.
Sites, in units of the cell vectors:
1 Sr 0.7500 0.2500 0.5000  4 O 2.47
2 U 0.0000 0.0000 0.0000  4 O 2.03
3 Cu 0.5000 0.5000 0.0000  4 O 1.88
4 Cu 0.2500 0.7500 0.5000  4 O 2.04
5 O 0.7033 0.8244 0.0476  1 Cu 1.88, 1 U 2.03
6 O 0.3443 0.2231 0.0476  1 Cu 1.88, 1 U 2.03
7 O 0.6598 0.7277 0.5836  1 O 1.56
8 O 0.9238 0.8558 0.5836  1 O 1.56
9 O 0.1442 0.3402 0.4164  1 O 1.56
10 O 0.2723 0.0762 0.4164  1 O 1.56
11 O 0.1756 0.6557 0.9524  1 Cu 1.88, 1 U 2.03
12 O 0.7769 0.2967 0.9524  1 Cu 1.88, 1 U 2.03

Electronic total energy, eV/atom: -6.637
Formation energy without anion corrections, kJ/mol of formula units: -1815
Space-group type: No. 82

No. 9
# PdF

Crystalline PdF at its relaxed geometry (PBE, the Alexandria database).

Cell lengths 2.9407, 2.9408, 6.4108 Å; angles 90.00, 90.24, 90.00 degrees
Last column: nearest neighbours and their distance in Å.
Sites, in units of the cell vectors:
1 Pd 0.7511 0.7500 0.1340  4 F 2.40
2 Pd 0.2489 0.2500 0.8660  4 F 2.40
3 F 0.7482 0.7500 0.6799  4 Pd 2.40
4 F 0.2518 0.2500 0.3201  4 Pd 2.40

Electronic total energy, eV/atom: -4.044
Excess energy over the best structure of this formula in the dataset, eV/atom: 0.213
Formation energy without anion corrections, kJ/mol of formula units: -99
Space-group type: No. 11

No. 10
# ZnMo

Crystalline ZnMo at its relaxed geometry (PBE, the Alexandria database).

Cell lengths 2.7813, 9.3549, 2.7813 Å; angles 98.55, 60.00, 98.55 degrees
Last column: nearest neighbours and their distance in Å.
Sites, in units of the cell vectors:
1 Mo 0.0012 0.0037 0.0012  9 Mo 2.78-2.86, 3 Zn 2.81
2 Mo 0.2488 0.7463 0.2488  9 Mo 2.78-2.86, 3 Zn 2.81
3 Zn 0.4987 0.4960 0.4987  9 Zn 2.75-2.78, 3 Mo 2.81
4 Zn 0.7513 0.2540 0.7513  9 Zn 2.75-2.78, 3 Mo 2.81

Electronic total energy, eV/atom: -5.848
Energy of formation, eV/atom: 0.20
Excess energy over the best structure of this formula in the dataset, eV/atom: 0.143
Space-group type: No. 166

No. 11
# BTe3S

Crystalline BTe3S at its relaxed geometry (PBE, the Alexandria database).

Cell lengths 4.8451, 4.8451, 4.8451 Å; angles 90.00, 90.00, 90.00 degrees
Last column: nearest neighbours and their distance in Å.
Sites, in units of the cell vectors:
1 S 0.5000 0.5000 0.5000  12 Te 3.43
2 Te 0.0000 0.5000 0.0000  2 B 2.42
3 Te 0.0000 0.0000 0.5000  2 B 2.42
4 Te 0.5000 0.0000 0.0000  2 B 2.42
5 B 0.0000 0.0000 0.0000  6 Te 2.42

Electronic total energy, eV/atom: -3.136
Excess energy over the best structure of this formula in the dataset, eV/atom: 0.000
Formation energy without anion corrections, kJ/mol of formula units: 439
Space-group type: No. 221

No. 12
# CsMg2Rh2

Crystalline CsMg2Rh2 at its relaxed geometry (PBE, the Alexandria database).

Cell lengths 4.7185, 4.7185, 6.8920 Å; angles 69.98, 69.98, 90.00 degrees
Last column: nearest neighbours and their distance in Å.
Sites, in units of the cell vectors:
1 Cs 0.0000 0.0000 0.0000  8 Rh 3.83, 10 Mg 3.92-3.98
2 Mg 0.3301 0.3301 0.3398  4 Rh 2.55
3 Mg 0.6699 0.6699 0.6602  4 Rh 2.55
4 Rh 0.7500 0.2500 0.5000  4 Mg 2.55
5 Rh 0.2500 0.7500 0.5000  4 Mg 2.55

Electronic total energy, eV/atom: -3.533
Energy of formation, eV/atom: 0.22
Excess energy over the best structure of this formula in the dataset, eV/atom: 0.032
Space-group type: No. 139

Question: What is the electronic total energy in the third record?
Answer: -7.960 eV/atom

Question: What is the electronic total energy in the fifth record?
Answer: -3.162 eV/atom

Question: Number 6 is which compound?
Answer: CeDyHo2Er5

Copy entry 7 word for word.
# DyMgNiGe2

Crystalline DyMgNiGe2 at its relaxed geometry (PBE, the Alexandria database).

Cell lengths 5.7570, 5.4833, 5.7629 Å; angles 90.00, 90.00, 90.00 degrees
Last column: nearest neighbours and their distance in Å.
Sites, in units of the cell vectors:
1 Dy 0.2373 0.2500 0.5000  2 Mg 2.99, 8 Ge 3.04-3.29
2 Dy 0.7627 0.7500 0.5000  2 Mg 2.99, 8 Ge 3.04-3.29
3 Mg 0.6211 0.7500 0.0000  2 Ni 2.58, 2 Ge 2.70
4 Mg 0.3789 0.2500 0.0000  2 Ni 2.58, 2 Ge 2.70
5 Ni 0.0000 0.0000 0.0000  4 Ge 2.49, 2 Mg 2.58, 2 Ni 2.74
6 Ni 0.0000 0.5000 0.0000  4 Ge 2.49, 2 Mg 2.58, 2 Ni 2.74
7 Ge 0.7614 0.2500 0.7297  2 Ni 2.49, 1 Ge 2.65, 1 Mg 2.70
8 Ge 0.7614 0.2500 0.2703  2 Ni 2.49, 1 Ge 2.65, 1 Mg 2.70
9 Ge 0.2386 0.7500 0.7297  2 Ni 2.49, 1 Ge 2.65, 1 Mg 2.70
10 Ge 0.2386 0.7500 0.2703  2 Ni 2.49, 1 Ge 2.65, 1 Mg 2.70

Electronic total energy, eV/atom: -4.688
Energy of formation, eV/atom: -0.45
Space-group type: No. 51